VASP calculation (PBE-GGA) on an optimized crystal structure of NiAs2Os.

The structure in POSCAR format:
```
NiAs2Os
1.0
3.471 0.000 0.000
0.000 4.040 0.000
-0.549 0.000 4.611
Ni As Os
1 2 1
Cartesian
0.000 0.000 0.000 Ni
0.994 2.020 0.946 As
1.928 2.020 3.665 As
1.461 0.000 2.306 Os
```

Energy of formation from the pure elements (eV/atom): 0.427
Calculated density (g/cm³): 10.240
Magnetic moment (μB/f.u.): 0.0
Energy (Ha/atom): -0.2260
Space group: P2/m
Distance to the lowest polymorph of the same formula (meV/atom): 345

VASP calculation (PBE-GGA) on an optimized crystal structure of NiAsOs2.

The structure in POSCAR format:
```
NiAsOs2
1.0
2.785 0.000 0.000
0.000 4.457 0.000
0.000 0.000 4.590
Ni As Os
1 1 2
Cartesian
0.000 0.000 0.000 Ni
1.393 0.000 2.295 As
0.000 2.228 2.295 Os
1.393 2.228 0.000 Os
```

Energy of formation from the pure elements (eV/atom): 0.507
Calculated density (g/cm³): 14.984
Magnetic moment (μB/f.u.): 0.0
Energy (Ha/atom): -0.2836
Space group: Pmmm

VASP calculation (PBE-GGA) on an optimized crystal structure of NiAsOs.

The structure in POSCAR format:
```
NiAsOs
1.0
0.000 2.815 2.815
2.815 0.000 2.815
2.815 2.815 0.000
Ni As Os
1 1 1
Cartesian
0.000 0.000 0.000 Ni
1.408 1.408 1.408 As
2.815 2.815 2.815 Os
```

Energy of formation from the pure elements (eV/atom): 0.161
Calculated density (g/cm³): 12.051
Magnetic moment (μB/f.u.): 0.0
Energy (Ha/atom): -0.2594
Space group: F-43m
Distance to the lowest polymorph of the same formula (meV/atom): 0

VASP calculation (PBE-GGA) on an optimized crystal structure of NiAs2Os.

The structure in POSCAR format:
```
NiAs2Os
1.0
1.462 0.844 9.679
-1.462 0.844 9.679
0.000 -1.688 9.679
Ni As Os
1 2 1
Cartesian
0.000 0.000 0.000 Ni
0.000 0.000 7.999 As
0.000 0.000 13.627 As
0.000 0.000 21.471 Os
```

Energy of formation from the pure elements (eV/atom): 0.168
Calculated density (g/cm³): 9.242
Magnetic moment (μB/f.u.): 0.0
Energy (Ha/atom): -0.2356
Space group: R3m
Distance to the lowest polymorph of the same formula (meV/atom): 86

VASP calculation (PBE-GGA) on an optimized crystal structure of NiAsOs.

The structure in POSCAR format:
```
NiAsOs
1.0
-1.517 1.517 4.420
1.517 -1.517 4.420
1.517 1.517 -4.420
Ni As Os
1 1 1
Cartesian
0.000 0.000 0.000 Ni
0.000 0.000 3.072 As
0.000 0.000 6.076 Os
```

Energy of formation from the pure elements (eV/atom): 0.283
Calculated density (g/cm³): 13.220
Magnetic moment (μB/f.u.): 0.8
Energy (Ha/atom): -0.2549
Space group: I4mm
Distance to the lowest polymorph of the same formula (meV/atom): 122

VASP calculation (PBE-GGA) on an optimized crystal structure of NiAsOs2.

The structure in POSCAR format:
```
NiAsOs2
1.0
2.850 0.000 0.000
0.000 2.850 0.000
0.000 0.000 6.865
Ni As Os
1 1 2
Cartesian
0.000 0.000 0.000 Ni
1.425 1.425 5.390 As
0.000 0.000 3.514 Os
1.425 1.425 1.827 Os
```

Energy of formation from the pure elements (eV/atom): 0.248
Calculated density (g/cm³): 15.305
Magnetic moment (μB/f.u.): 0.0
Energy (Ha/atom): -0.2931
Space group: P4mm

VASP calculation (PBE-GGA) on an optimized crystal structure of NiAsOs2.

The structure in POSCAR format:
```
NiAsOs2
1.0
-1.904 1.904 3.800
1.904 -1.904 3.800
1.904 1.904 -3.800
Ni As Os
1 1 2
Cartesian
0.000 0.000 0.000 Ni
0.000 1.904 1.900 As
1.904 0.000 1.900 Os
0.000 0.000 3.800 Os
```

Energy of formation from the pure elements (eV/atom): 0.407
Calculated density (g/cm³): 15.499
Magnetic moment (μB/f.u.): 0.0
Energy (Ha/atom): -0.2872
Space group: I-4m2

VASP calculation (PBE-GGA) on an optimized crystal structure of NiAsOs2.

The structure in POSCAR format:
```
NiAsOs2
1.0
4.242 0.000 0.000
0.000 4.242 0.000
0.000 0.000 2.992
Ni As Os
1 1 2
Cartesian
0.000 0.000 0.000 Ni
2.121 2.121 0.000 As
0.000 2.121 1.496 Os
2.121 0.000 1.496 Os
```

Energy of formation from the pure elements (eV/atom): 0.331
Calculated density (g/cm³): 15.855
Magnetic moment (μB/f.u.): 0.0
Energy (Ha/atom): -0.2900
Space group: P4/mmm

VASP calculation (PBE-GGA) on an optimized crystal structure of NiAsOs3.

The structure in POSCAR format:
```
NiAsOs3
1.0
4.493 0.000 0.000
0.000 4.493 0.000
0.000 0.000 4.493
Ni As Os
1 1 3
Cartesian
0.000 0.000 0.000 Ni
2.247 2.247 2.247 As
0.000 2.247 2.247 Os
2.247 0.000 2.247 Os
2.247 2.247 0.000 Os
```

Energy of formation from the pure elements (eV/atom): 1.891
Calculated density (g/cm³): 12.891
Magnetic moment (μB/f.u.): 1.9
Energy (Ha/atom): -0.2548
Space group: Pm-3m
Distance to the lowest polymorph of the same formula (meV/atom): 0

VASP calculation (PBE-GGA) on an optimized crystal structure of NiAsOs.

The structure in POSCAR format:
```
NiAsOs
1.0
4.076 0.000 0.000
-2.038 3.530 0.000
0.000 0.000 2.931
Ni As Os
1 1 1
Cartesian
0.000 0.000 0.000 Ni
2.038 1.177 1.952 As
0.000 2.353 1.463 Os
```

Energy of formation from the pure elements (eV/atom): 0.262
Calculated density (g/cm³): 12.752
Magnetic moment (μB/f.u.): 0.0
Energy (Ha/atom): -0.2557
Space group: P3m1
Distance to the lowest polymorph of the same formula (meV/atom): 100

VASP calculation (PBE-GGA) on an optimized crystal structure of NiAs2Os.

The structure in POSCAR format:
```
NiAs2Os
1.0
3.074 0.000 0.000
0.000 3.074 0.000
0.000 0.000 6.124
Ni As Os
1 2 1
Cartesian
0.000 0.000 0.000 Ni
1.537 1.537 1.497 As
1.537 1.537 4.628 As
0.000 0.000 3.062 Os
```

Energy of formation from the pure elements (eV/atom): 0.222
Calculated density (g/cm³): 11.440
Magnetic moment (μB/f.u.): 0.0
Energy (Ha/atom): -0.2336
Space group: P4/mmm
Distance to the lowest polymorph of the same formula (meV/atom): 140

VASP calculation (PBE-GGA) on an optimized crystal structure of NiAsOs2.

The structure in POSCAR format:
```
NiAsOs2
1.0
1.400 0.808 8.227
-1.400 0.808 8.227
0.000 -1.617 8.227
Ni As Os
1 1 2
Cartesian
0.000 0.000 0.000 Ni
0.000 0.000 6.359 As
0.000 0.000 12.471 Os
0.000 0.000 18.588 Os
```

Energy of formation from the pure elements (eV/atom): 0.255
Calculated density (g/cm³): 15.283
Magnetic moment (μB/f.u.): 0.0
Energy (Ha/atom): -0.2928
Space group: R3m

VASP calculation (PBE-GGA) on an optimized crystal structure of NiAs2Os.

The structure in POSCAR format:
```
NiAs2Os
1.0
-1.527 2.130 4.601
1.527 -2.130 4.601
1.527 2.130 -4.601
Ni As Os
1 2 1
Cartesian
0.000 0.000 0.000 Ni
0.000 0.000 4.643 As
0.000 2.130 2.618 As
1.527 0.000 2.543 Os
```

Energy of formation from the pure elements (eV/atom): 0.328
Calculated density (g/cm³): 11.064
Magnetic moment (μB/f.u.): 0.0
Energy (Ha/atom): -0.2297
Space group: Imm2
Distance to the lowest polymorph of the same formula (meV/atom): 246

VASP calculation (PBE-GGA) on an optimized crystal structure of NiAsOs2.

The structure in POSCAR format:
```
NiAsOs2
1.0
4.340 -1.429 0.000
4.340 1.429 0.000
-0.390 0.000 4.531
Ni As Os
1 1 2
Cartesian
0.000 0.000 0.000 Ni
1.807 0.000 3.658 As
3.936 0.000 2.222 Os
6.300 0.000 1.200 Os
```

Energy of formation from the pure elements (eV/atom): 0.309
Calculated density (g/cm³): 15.193
Magnetic moment (μB/f.u.): 0.0
Energy (Ha/atom): -0.2908
Space group: Cm

VASP calculation (PBE-GGA) on an optimized crystal structure of NiAsOs2.

The structure in POSCAR format:
```
NiAsOs2
1.0
1.366 -2.317 0.000
1.366 2.317 0.000
0.000 0.000 9.268
Ni As Os
1 1 2
Cartesian
0.000 0.000 0.000 Ni
0.000 0.000 4.634 As
1.366 0.000 2.138 Os
1.366 0.000 7.130 Os
```

Energy of formation from the pure elements (eV/atom): 0.677
Calculated density (g/cm³): 14.552
Magnetic moment (μB/f.u.): 0.0
Energy (Ha/atom): -0.2773
Space group: Cmmm

VASP calculation (PBE-GGA) on an optimized crystal structure of NiAs2Os.

The structure in POSCAR format:
```
NiAs2Os
1.0
-2.718 2.718 5.378
2.718 -2.718 5.378
2.718 2.718 -5.378
Ni As Os
2 4 2
Cartesian
0.000 0.000 0.000 Ni
0.000 2.718 2.689 Ni
4.077 1.305 -1.344 As
1.305 1.359 1.344 As
-1.359 1.413 4.033 As
1.413 1.359 6.722 As
2.718 0.000 2.689 Os
0.000 0.000 5.378 Os
```

Energy of formation from the pure elements (eV/atom): 0.239
Calculated density (g/cm³): 8.332
Magnetic moment (μB/f.u.): 0.0
Energy (Ha/atom): -0.2330
Space group: I-42d
Distance to the lowest polymorph of the same formula (meV/atom): 156

VASP calculation (PBE-GGA) on an optimized crystal structure of NiAsOs2.

The structure in POSCAR format:
```
NiAsOs2
1.0
-1.429 2.018 5.003
1.429 -2.018 5.003
1.429 2.018 -5.003
Ni As Os
1 1 2
Cartesian
0.000 0.000 0.000 Ni
0.000 0.000 5.003 As
1.429 0.000 2.981 Os
0.000 2.018 2.022 Os
```

Energy of formation from the pure elements (eV/atom): 0.339
Calculated density (g/cm³): 14.792
Magnetic moment (μB/f.u.): 0.0
Energy (Ha/atom): -0.2897
Space group: Immm

VASP calculation (PBE-GGA) on an optimized crystal structure of NiAs2Os.

The structure in POSCAR format:
```
NiAs2Os
1.0
4.144 0.000 0.000
0.000 3.027 0.000
-2.067 0.000 4.664
Ni As Os
1 2 1
Cartesian
0.000 0.000 0.000 Ni
1.039 0.000 2.332 As
2.072 1.513 0.000 As
-1.033 1.513 2.332 Os
```

Energy of formation from the pure elements (eV/atom): 0.243
Calculated density (g/cm³): 11.319
Magnetic moment (μB/f.u.): 0.0
Energy (Ha/atom): -0.2328
Space group: P2/m
Distance to the lowest polymorph of the same formula (meV/atom): 161

VASP calculation (PBE-GGA) on an optimized crystal structure of NiAs2Os.

The structure in POSCAR format:
```
NiAs2Os
1.0
3.927 -1.525 0.000
3.927 1.525 0.000
-0.813 0.000 4.915
Ni As Os
1 2 1
Cartesian
0.000 0.000 0.000 Ni
1.262 0.000 3.674 As
5.780 0.000 1.240 As
3.521 0.000 2.457 Os
```

Energy of formation from the pure elements (eV/atom): 0.192
Calculated density (g/cm³): 11.250
Magnetic moment (μB/f.u.): 0.0
Energy (Ha/atom): -0.2347
Space group: C2/m
Distance to the lowest polymorph of the same formula (meV/atom): 110

VASP calculation (PBE-GGA) on an optimized crystal structure of NiAsOs2.

The structure in POSCAR format:
```
NiAsOs2
1.0
0.000 3.052 3.052
3.052 0.000 3.052
3.052 3.052 0.000
Ni As Os
1 1 2
Cartesian
0.000 0.000 0.000 Ni
1.526 1.526 1.526 As
3.052 3.052 3.052 Os
4.577 4.577 4.577 Os
```

Energy of formation from the pure elements (eV/atom): 0.540
Calculated density (g/cm³): 15.020
Magnetic moment (μB/f.u.): 0.0
Energy (Ha/atom): -0.2823
Space group: F-43m